(1)
Below is a geometry-optimized Zn4SiTc structure, with properties calculated at the GGA-PBE level.

Cell and atoms, written as extended XYZ:
```
6
Lattice="-2.1615 -1.3228 4.2461 -4.4882 -2.0747 -0.0518 -0.5238 -4.7875 1.1211" Properties=species:S:1:pos:R:3 pbc="T T T"
Zn -3.7718 -3.7289 4.1242
Zn -2.9485 -5.4705 2.5533
Zn -4.9414 -4.1068 1.9636
Zn -2.6852 -3.0639 1.9897
Si -5.3801 -6.1388 3.9865
Tc 0.0000 0.0000 0.0000
```

- SG = F-43m, No. 216
- uncorrected formation energy (eV/atom) = 0.257
- density (Mg/m³) = 7.5

(2)
Below is a geometry-optimized ZnSiTc2 structure, with properties calculated at the GGA-PBE level.

Cell and atoms, written as extended XYZ:
```
4
Lattice="4.9399 -0.0091 0.0155 -1.8672 4.5735 0.0155 0.6042 0.8975 2.5103" Properties=species:S:1:pos:R:3 pbc="T T T"
Si -0.6315 2.7355 1.2629
Tc 0.0000 0.0000 0.0000
Tc 1.5364 2.2822 0.0155
Zn 2.7721 0.4442 1.2629
```

- SG = C2/m, No. 12
- uncorrected formation energy (eV/atom) = 0.069
- density (Mg/m³) = 8.5
- E above lowest polymorph (meV/atom) = 208

(3)
Below is a geometry-optimized Zn2SiTc structure, with properties calculated at the GGA-PBE level.

Cell and atoms, written as extended XYZ:
```
4
Lattice="9.4260 0.0922 0.0541 9.0047 2.7883 0.0541 9.0047 1.4073 2.4077" Properties=species:S:1:pos:R:3 pbc="T T T"
Si 6.8589 1.0720 0.6290
Tc 20.5766 3.2159 1.8869
Zn 0.1041 0.0163 0.0095
Zn 13.6136 2.1277 1.2484
```

- SG = R-3m, No. 166
- uncorrected formation energy (eV/atom) = 0.239
- density (Mg/m³) = 7.1
- E above lowest polymorph (meV/atom) = 398

(4)
Below is a geometry-optimized ZrSiTc2 structure, with properties calculated at the GGA-PBE level.

Cell and atoms, written as extended XYZ:
```
4
Lattice="-2.2052 3.7105 -0.7616 -1.3134 -1.2460 -2.2675 -3.7903 -1.6576 2.8988" Properties=species:S:1:pos:R:3 pbc="T T T"
Si -4.9304 -0.3224 0.0927
Tc -4.9720 -2.7976 0.7665
Tc -2.6836 -1.5578 0.1805
Zr -2.3785 1.1294 -0.2229
```

- SG = P2/m, No. 10
- uncorrected formation energy (eV/atom) = -0.181
- density (Mg/m³) = 8.2

(5)
Below is a geometry-optimized Zr4SiTc structure, with properties calculated at the GGA-PBE level.

Cell and atoms, written as extended XYZ:
```
6
Lattice="-0.4129 -2.7028 4.8309 -4.5969 -2.8763 1.1871 0.1451 -5.5482 0.0975" Properties=species:S:1:pos:R:3 pbc="T T T"
Zr -2.0277 -5.5238 4.7214
Zr -1.7465 -6.9574 2.3366
Zr -4.1356 -5.6112 2.8856
Zr -1.8196 -4.1621 2.2875
Si -3.6485 -8.3455 4.5866
Tc 0.0000 0.0000 0.0000
```

- SG = F-43m, No. 216
- uncorrected formation energy (eV/atom) = 0.532
- density (Mg/m³) = 6.7

(6)
Below is a geometry-optimized Zr2SiTc structure, with properties calculated at the GGA-PBE level.

Cell and atoms, written as extended XYZ:
```
4
Lattice="-2.2029 -1.0281 2.1604 2.2808 -1.7893 1.4742 1.5258 5.3085 4.0821" Properties=species:S:1:pos:R:3 pbc="T T T"
Si 0.8348 2.9042 2.2333
Tc 1.1186 2.3474 4.7057
Zr 1.4744 5.1295 3.9445
Zr 0.4648 0.0726 2.9564
```

- SG = P4mm, No. 99
- uncorrected formation energy (eV/atom) = -0.393
- density (Mg/m³) = 7.1

(7)
Below is a geometry-optimized Zr3SiTc structure, with properties calculated at the GGA-PBE level.

Cell and atoms, written as extended XYZ:
```
5
Lattice="4.8644 0.0000 0.0000 0.0000 4.8644 0.0000 0.0000 0.0000 4.8644" Properties=species:S:1:pos:R:3 pbc="T T T"
Si 0.0000 0.0000 0.0000
Tc 2.4322 2.4322 2.4322
Zr 0.0000 2.4322 0.0000
Zr 0.0000 0.0000 2.4322
Zr 2.4322 0.0000 0.0000
```

- SG = Pm-3m, No. 221
- uncorrected formation energy (eV/atom) = 0.599
- density (Mg/m³) = 5.8
- E above lowest polymorph (meV/atom) = 53

(8)
Below is a geometry-optimized ZrSiTc4 structure, with properties calculated at the GGA-PBE level.

Cell and atoms, written as extended XYZ:
```
6
Lattice="0.0000 3.6511 3.6511 3.6511 0.0000 3.6511 3.6511 3.6511 0.0000" Properties=species:S:1:pos:R:3 pbc="T T T"
Zr 5.4767 5.4767 5.4767
Si 0.0000 0.0000 0.0000
Tc 2.7293 4.5729 4.5729
Tc 4.5729 4.5729 2.7293
Tc 4.5729 2.7293 4.5729
Tc 2.7293 2.7293 2.7293
```

- SG = F-43m, No. 216
- uncorrected formation energy (eV/atom) = 0.033
- density (Mg/m³) = 8.7

(9)
Below is a geometry-optimized ZrSiTc2 structure, with properties calculated at the GGA-PBE level.

Cell and atoms, written as extended XYZ:
```
4
Lattice="-2.6502 3.7028 2.7148 -0.9000 2.0596 4.8013 2.2995 3.4994 0.8270" Properties=species:S:1:pos:R:3 pbc="T T T"
Si -0.4129 2.3549 2.2009
Tc -3.5188 5.7493 7.4794
Tc -0.8736 6.9224 6.1844
Zr -0.6211 4.6285 4.1661
```

- SG = Imm2, No. 44
- uncorrected formation energy (eV/atom) = -0.384
- density (Mg/m³) = 8.4

(10)
Below is a geometry-optimized Zr2SiTc structure, with properties calculated at the GGA-PBE level.

Cell and atoms, written as extended XYZ:
```
8
Lattice="-0.8129 -6.9675 -2.2683 7.0388 -1.3767 1.7063 2.3348 -4.9277 2.3190" Properties=species:S:1:pos:R:3 pbc="T T T"
Si 3.1129 -4.1721 -0.2810
Si 6.2433 -5.2383 1.8722
Tc 0.0000 0.0000 0.0000
Tc 2.3174 -8.0336 -0.1151
Zr 0.9415 -5.8785 -0.6636
Zr 4.8953 -2.8435 1.4017
Zr 3.9648 -6.8012 1.4992
Zr 7.3198 -11.0206 1.2769
```

- SG = I-42d, No. 122
- uncorrected formation energy (eV/atom) = 0.132
- density (Mg/m³) = 6.7

(11)
Below is a geometry-optimized ZrSi2Tc4 structure, with properties calculated at the GGA-PBE level.

Cell and atoms, written as extended XYZ:
```
7
Lattice="-3.0433 -2.5297 0.3607 -0.0257 -0.5365 -3.9792 4.4501 -4.9731 2.6676" Properties=species:S:1:pos:R:3 pbc="T T T"
Zr 0.0000 0.0000 0.0000
Si -0.7857 -2.4176 -1.6948
Si 2.1668 -5.6217 0.7439
Tc 1.2669 -4.8422 -1.3812
Tc 1.6834 -2.2719 -1.7304
Tc 0.1141 -3.1971 0.4303
Tc 2.7409 -3.2377 0.4188
```

- SG = Cmmm, No. 65
- uncorrected formation energy (eV/atom) = -0.457
- density (Mg/m³) = 8.1

(12)
Below is a geometry-optimized Zr2SiTc structure, with properties calculated at the GGA-PBE level.

Cell and atoms, written as extended XYZ:
```
4
Lattice="3.0547 0.0118 0.0000 -0.9219 2.9123 0.0000 0.0000 0.0000 8.2036" Properties=species:S:1:pos:R:3 pbc="T T T"
Si 1.0664 1.4621 2.0509
Tc 1.0664 1.4621 6.1527
Zr 0.0000 0.0000 0.0131
Zr 0.0000 0.0000 4.0887
```

- SG = Cmmm, No. 65
- uncorrected formation energy (eV/atom) = -0.263
- density (Mg/m³) = 7.0

(13)
Below is a geometry-optimized Zr2SiTc structure, with properties calculated at the GGA-PBE level.

Cell and atoms, written as extended XYZ:
```
4
Lattice="-0.2859 -0.4569 -4.0821 2.4254 -2.5629 0.1170 -2.4965 -4.7439 0.7058" Properties=species:S:1:pos:R:3 pbc="T T T"
Si 0.5199 -4.0350 0.4152
Tc -0.7946 -5.3734 -1.4195
Zr 0.1279 -6.8228 0.7547
Zr -0.3166 -2.4928 -1.7754
```

- SG = Pm, No. 6
- uncorrected formation energy (eV/atom) = -0.552
- density (Mg/m³) = 6.9

(14)
Below is a geometry-optimized ZrSiTc2 structure, with properties calculated at the GGA-PBE level.

Cell and atoms, written as extended XYZ:
```
8
Lattice="-0.7137 5.1331 4.8054 -3.7681 -4.3572 4.0947 0.0682 -0.4477 5.6857" Properties=species:S:1:pos:R:3 pbc="T T T"
Si -2.2409 0.3880 4.4500
Si -2.9704 -2.2085 7.1152
Tc -0.8564 2.2374 4.6425
Tc -2.4709 -1.8794 4.8754
Tc -1.8602 -0.3115 7.8524
Tc -3.6398 0.6098 11.8012
Zr 0.0000 0.0000 0.0000
Zr -1.4432 2.5367 7.4705
```

- SG = I-42d, No. 122
- uncorrected formation energy (eV/atom) = 0.149
- density (Mg/m³) = 7.6

(15)
Below is a geometry-optimized Zr2SiTc structure, with properties calculated at the GGA-PBE level.

Cell and atoms, written as extended XYZ:
```
4
Lattice="-4.4882 -1.6715 -0.6627 0.2560 -4.1260 2.5075 1.1816 4.3944 1.6340" Properties=species:S:1:pos:R:3 pbc="T T T"
Si -0.3393 -1.3152 2.5320
Tc -2.7114 -0.0879 0.9468
Zr 0.0000 0.0000 0.0000
Zr -2.1161 -2.8988 0.9224
```

- SG = I4/mmm, No. 139
- uncorrected formation energy (eV/atom) = -0.379
- density (Mg/m³) = 7.2